[1]
V4Ni15Ge: optimized geometry, PBE.

```
data_V4Ni15Ge
_symmetry_space_group_name_H-M 'P 1'
_symmetry_Int_Tables_number 1
_symmetry_space_group_name_Hall 'P 1'
_cell_length_a 3.562
_cell_length_b 3.562
_cell_length_c 17.868
_cell_angle_alpha 90.00
_cell_angle_beta 90.00
_cell_angle_gamma 90.00
loop_
_atom_site_label
_atom_site_fract_x
_atom_site_fract_y
_atom_site_fract_z
V1 0.000 0.000 0.199
V2 0.000 0.000 0.400
V3 0.000 0.000 0.600
V4 0.000 0.000 0.801
Ni1 0.500 0.500 0.000
Ni2 0.500 0.500 0.201
Ni3 0.500 0.500 0.400
Ni4 0.500 0.500 0.600
Ni5 0.500 0.500 0.799
Ni6 0.500 0.000 0.103
Ni7 0.500 0.000 0.300
Ni8 0.500 0.000 0.500
Ni9 0.500 0.000 0.700
Ni10 0.500 0.000 0.897
Ni11 0.000 0.500 0.103
Ni12 0.000 0.500 0.300
Ni13 0.000 0.500 0.500
Ni14 0.000 0.500 0.700
Ni15 0.000 0.500 0.897
Ge1 0.000 0.000 0.000
```

Computed properties:
N(E_F) = 1.0782 states/eV per atom
space group = P4/mmm (123)
ΔH_f (0 K) = -199.7 meV per atom



[2]
ErSiTc2: optimized geometry, PBE.

```
data_ErSiTc2
_symmetry_space_group_name_H-M 'P 1'
_symmetry_Int_Tables_number 1
_symmetry_space_group_name_Hall 'P 1'
_cell_length_a 4.268
_cell_length_b 5.735
_cell_length_c 6.038
_cell_angle_alpha 90.00
_cell_angle_beta 90.00
_cell_angle_gamma 90.00
loop_
_atom_site_label
_atom_site_fract_x
_atom_site_fract_y
_atom_site_fract_z
Er1 0.000 0.000 0.405
Er2 0.500 0.500 0.595
Si1 0.000 0.500 0.247
Si2 0.500 0.000 0.753
Tc1 0.000 0.215 0.905
Tc2 0.000 0.785 0.905
Tc3 0.500 0.285 0.095
Tc4 0.500 0.715 0.095
```

Computed properties:
formation energy without anion corrections = -327 meV/atom
N(E_F) = 0.4820 states/eV per atom
space group = Pmmn (59)



[3]
TmScFePd: optimized geometry, PBE.

```
data_TmScFePd
_symmetry_space_group_name_H-M 'P 1'
_symmetry_Int_Tables_number 1
_symmetry_space_group_name_Hall 'P 1'
_cell_length_a 4.657
_cell_length_b 4.657
_cell_length_c 4.657
_cell_angle_alpha 60.00
_cell_angle_beta 60.00
_cell_angle_gamma 60.00
loop_
_atom_site_label
_atom_site_fract_x
_atom_site_fract_y
_atom_site_fract_z
Sc1 0.000 0.000 0.000
Tm1 0.500 0.500 0.500
Fe1 0.250 0.250 0.250
Pd1 0.750 0.750 0.750
```

Computed properties:
N(E_F) = 0.4404 states/eV per atom
space group = F-43m (216)
ΔH_f (0 K) = -402.3 meV per atom



[4]
Th2ZrPaAs4: optimized geometry, PBE.

```
data_Th2ZrPaAs4
_symmetry_space_group_name_H-M 'P 1'
_symmetry_Int_Tables_number 1
_symmetry_space_group_name_Hall 'P 1'
_cell_length_a 4.138
_cell_length_b 7.094
_cell_length_c 7.160
_cell_angle_alpha 109.59
_cell_angle_beta 90.00
_cell_angle_gamma 90.00
loop_
_atom_site_label
_atom_site_fract_x
_atom_site_fract_y
_atom_site_fract_z
Th1 0.500 0.000 0.500
Th2 0.000 0.500 0.500
Zr1 0.000 0.000 0.000
Pa1 0.500 0.500 0.000
As1 0.500 0.238 0.230
As2 0.500 0.762 0.770
As3 0.000 0.250 0.767
As4 0.000 0.750 0.233
```

Computed properties:
N(E_F) = 0.9058 states/eV per atom
space group = P2/m (10)
ΔH_f (0 K) = -1220.3 meV per atom



[5]
La12Pr6Nd: optimized geometry, PBE.

```
data_La12Pr6Nd
_symmetry_space_group_name_H-M 'P 1'
_symmetry_Int_Tables_number 1
_symmetry_space_group_name_Hall 'P 1'
_cell_length_a 9.133
_cell_length_b 9.853
_cell_length_c 9.853
_cell_angle_alpha 69.10
_cell_angle_beta 72.00
_cell_angle_gamma 108.00
loop_
_atom_site_label
_atom_site_fract_x
_atom_site_fract_y
_atom_site_fract_z
La1 0.527 0.843 0.262
La2 0.684 0.895 0.843
La3 0.789 0.262 0.895
La4 0.473 0.157 0.738
La5 0.316 0.105 0.157
La6 0.211 0.738 0.105
La7 0.264 0.421 0.633
La8 0.103 0.367 0.053
La9 0.156 0.053 0.579
La10 0.736 0.579 0.367
La11 0.897 0.633 0.947
La12 0.844 0.947 0.421
Pr1 0.420 0.473 0.211
Pr2 0.053 0.684 0.527
Pr3 0.369 0.789 0.684
Pr4 0.580 0.527 0.789
Pr5 0.947 0.316 0.473
Pr6 0.631 0.211 0.316
Nd1 0.000 0.000 0.000
```

Computed properties:
N(E_F) = 1.9285 states/eV per atom
space group = R-3 (148)
ΔH_f (0 K) = 12.1 meV per atom



[6]
CuAs2Ir: optimized geometry, PBE.

```
data_CuAs2Ir
_symmetry_space_group_name_H-M 'P 1'
_symmetry_Int_Tables_number 1
_symmetry_space_group_name_Hall 'P 1'
_cell_length_a 4.492
_cell_length_b 4.492
_cell_length_c 3.117
_cell_angle_alpha 90.00
_cell_angle_beta 90.00
_cell_angle_gamma 99.73
loop_
_atom_site_label
_atom_site_fract_x
_atom_site_fract_y
_atom_site_fract_z
As1 0.000 0.000 0.000
As2 0.500 0.500 0.000
Cu1 0.500 0.000 0.500
Ir1 0.000 0.500 0.500
```

Computed properties:
energy above the lowest structure with this stoichiometry = 164 meV per atom
N(E_F) = 0.4484 states/eV per atom
space group = Cmmm (65)
ΔH_f (0 K) = 216.1 meV per atom



[7]
TlAgOsO5: optimized geometry, PBE.

```
data_TlAgOsO5
_symmetry_space_group_name_H-M 'P 1'
_symmetry_Int_Tables_number 1
_symmetry_space_group_name_Hall 'P 1'
_cell_length_a 6.882
_cell_length_b 6.882
_cell_length_c 8.170
_cell_angle_alpha 100.53
_cell_angle_beta 100.53
_cell_angle_gamma 118.05
loop_
_atom_site_label
_atom_site_fract_x
_atom_site_fract_y
_atom_site_fract_z
Tl1 0.000 0.000 0.500
Tl2 0.000 0.000 0.000
Ag1 0.254 0.746 0.250
Ag2 0.746 0.254 0.750
Os1 0.703 0.297 0.250
Os2 0.297 0.703 0.750
O1 0.064 0.936 0.250
O2 0.936 0.064 0.750
O3 0.950 0.368 0.174
O4 0.050 0.632 0.826
O5 0.632 0.050 0.326
O6 0.368 0.950 0.674
O7 0.770 0.530 0.427
O8 0.230 0.470 0.573
O9 0.470 0.230 0.073
O10 0.530 0.770 0.927
```

Computed properties:
formation energy without anion corrections = -600 meV/atom
N(E_F) = 0.5849 states/eV per atom
space group = C2/c (15)